LaWSe2 | PBE | relaxed

Results
* relative energy among the computed polymorphs: 297.7 meV per atom
* total DFT energy (no corrections): -6.5471 eV/atom
* E_form (uncorrected): -1.34 eV per formula unit

abc: 4.885 4.885 4.885
angles: 60.00 60.00 60.00
Fractional coordinates of all 4 atoms:
La1 0.000 0.000 0.000
W1 0.500 0.500 0.500
Se1 0.250 0.250 0.250
Se2 0.750 0.750 0.750

LaW2Se | PBE | relaxed

Results
* relative energy among the computed polymorphs: 991.6 meV per atom
* total DFT energy (no corrections): -7.5187 eV/atom
* E_form (uncorrected): 4.24 eV per formula unit

abc: 4.749 4.749 4.749
angles: 60.00 60.00 60.00
Fractional coordinates of all 4 atoms:
La1 0.500 0.500 0.500
W1 0.750 0.750 0.750
W2 0.250 0.250 0.250
Se1 0.000 0.000 0.000